Material: Ac2EuO4
Method: DFT, PBE-GGA
State: optimized geometry

a = 4.529 Å, b = 4.529 Å, c = 7.248 Å
α = 108.21°, β = 108.21°, γ = 90.00°
Each line ends with the local moment (μB).
Sites, in units of the cell vectors:
Ac  0.639  0.639  0.278  0.03
Ac  0.361  0.361  0.722  0.03
O  0.188  0.188  0.376  -0.01
O  0.500  0.000  0.000  -0.04
O  0.812  0.812  0.624  -0.01
O  0.000  0.500  0.000  -0.04
Eu  0.000  0.000  0.000  6.55

Summary:
crystal system: tetragonal
electronic total energy: -8.2672 eV/atom
Fermi-level density of states: 7.271 states/eV/cell
E_form (uncorrected): -2792 meV/atom
space group: I4/mmm, No. 139
M_tot: 0.9611 μB/atom